Record 1
Entry from Alexandria: a geometry-optimized HgOsRu structure (PBE-GGA).

Unit cell a=7.717 b=7.457 c=2.815 alpha=84.56 beta=74.15 gamma=21.29
Each line ends with the local moment (μB).
Element x y z (fractional)
Hg 0.999 0.999 0.001  0.00
Os 0.678 0.678 0.322  0.45
Ru 0.323 0.323 0.677  0.58

Calculated values
- Symmetry: No. 42
- Size of the total moment: 0.357 μB per atom
- ΔE_f: 0.740 eV/atom
- Offset from the most stable computed form: 0.339 eV per atom

Record 2
Entry from Alexandria: a geometry-optimized HgOs4Ru structure (PBE-GGA).

Unit cell a=5.179 b=5.179 c=5.179 alpha=60.00 beta=60.00 gamma=60.00
Each line ends with the local moment (μB).
Element x y z (fractional)
Hg 0.000 0.000 0.000  0.00
Os 0.873 0.376 0.376  0.20
Os 0.376 0.376 0.873  0.20
Os 0.376 0.873 0.376  0.20
Os 0.376 0.376 0.376  0.20
Ru 0.750 0.750 0.750  0.99

Calculated values
- Symmetry: No. 216
- Size of the total moment: 0.311 μB per atom
- ΔE_f: 0.985 eV/atom

Record 3
Entry from Alexandria: a geometry-optimized Hg2OsRu structure (PBE-GGA).

Unit cell a=6.126 b=6.126 c=6.126 alpha=153.31 beta=133.59 gamma=54.34
Element x y z (fractional)
Hg 0.025 0.025 0.000
Hg 0.726 0.226 0.500
Os 0.468 0.468 0.000
Ru 0.281 0.781 0.500

Calculated values
- Symmetry: No. 44
- Size of the total moment: 0.000 μB per atom
- ΔE_f: 0.745 eV/atom
- Offset from the most stable computed form: 0.383 eV per atom

Record 4
Entry from Alexandria: a geometry-optimized Hg2OsRu structure (PBE-GGA).

Unit cell a=2.894 b=4.203 c=5.791 alpha=90.00 beta=90.00 gamma=90.00
Each line ends with the local moment (μB).
Element x y z (fractional)
Hg 0.000 0.000 0.000  0.01
Hg 0.000 0.000 0.500  0.01
Os 0.500 0.500 0.250  1.26
Ru 0.500 0.500 0.750  1.50

Calculated values
- Symmetry: No. 47
- Size of the total moment: 0.730 μB per atom
- ΔE_f: 0.961 eV/atom
- Offset from the most stable computed form: 0.599 eV per atom

Record 5
Entry from Alexandria: a geometry-optimized HgOsRu structure (PBE-GGA).

Unit cell a=2.824 b=2.824 c=7.064 alpha=90.00 beta=90.00 gamma=120.00
Element x y z (fractional)
Hg 0.000 0.000 0.997
Os 0.667 0.333 0.359
Ru 0.333 0.667 0.644

Calculated values
- Symmetry: No. 156
- Size of the total moment: 0.000 μB per atom
- ΔE_f: 0.463 eV/atom
- Offset from the most stable computed form: 0.062 eV per atom

Record 6
Entry from Alexandria: a geometry-optimized Hg2OsRu structure (PBE-GGA).

Unit cell a=5.082 b=5.082 c=5.082 alpha=132.29 beta=132.29 gamma=69.77
Each line ends with the local moment (μB).
Element x y z (fractional)
Hg 0.000 0.000 0.000  0.01
Hg 0.500 0.500 0.000  0.01
Os 0.250 0.750 0.500  1.37
Ru 0.750 0.250 0.500  1.47

Calculated values
- Symmetry: No. 139
- Size of the total moment: 0.751 μB per atom
- ΔE_f: 0.965 eV/atom
- Offset from the most stable computed form: 0.603 eV per atom

Record 7
Entry from Alexandria: a geometry-optimized HgOsRu structure (PBE-GGA).

Unit cell a=4.303 b=4.303 c=4.303 alpha=60.00 beta=60.00 gamma=60.00
Element x y z (fractional)
Hg 0.000 0.000 0.000
Os 0.500 0.500 0.500
Ru 0.750 0.750 0.750

Calculated values
- Symmetry: No. 216
- Size of the total moment: 0.000 μB per atom
- ΔE_f: 0.985 eV/atom
- Offset from the most stable computed form: 0.583 eV per atom

Record 8
Entry from Alexandria: a geometry-optimized HgOsRu structure (PBE-GGA).

Unit cell a=6.417 b=6.417 c=6.417 alpha=154.44 beta=154.44 gamma=36.46
Element x y z (fractional)
Hg 0.999 0.999 0.000
Os 0.684 0.684 0.000
Ru 0.316 0.316 0.000

Calculated values
- Symmetry: No. 107
- Size of the total moment: 0.000 μB per atom
- ΔE_f: 0.401 eV/atom
- Offset from the most stable computed form: 0.000 eV per atom

Record 9
Entry from Alexandria: a geometry-optimized HgOsRu4 structure (PBE-GGA).

Unit cell a=5.104 b=5.104 c=5.104 alpha=60.00 beta=60.00 gamma=60.00
Element x y z (fractional)
Hg 0.750 0.750 0.750
Os 0.000 0.000 0.000
Ru 0.876 0.375 0.375
Ru 0.375 0.375 0.876
Ru 0.375 0.876 0.375
Ru 0.375 0.375 0.375

Calculated values
- Symmetry: No. 216
- Size of the total moment: 0.000 μB per atom
- ΔE_f: 0.802 eV/atom

Record 10
Entry from Alexandria: a geometry-optimized Hg2OsRu structure (PBE-GGA).

Unit cell a=10.233 b=10.233 c=10.233 alpha=16.17 beta=16.17 gamma=16.17
Element x y z (fractional)
Hg 0.010 0.010 0.010
Hg 0.241 0.241 0.241
Os 0.490 0.490 0.490
Ru 0.759 0.759 0.759

Calculated values
- Symmetry: No. 160
- Size of the total moment: 0.000 μB per atom
- ΔE_f: 0.447 eV/atom
- Offset from the most stable computed form: 0.084 eV per atom

Record 11
Entry from Alexandria: a geometry-optimized Hg2OsRu structure (PBE-GGA).

Unit cell a=4.933 b=4.933 c=5.129 alpha=80.39 beta=80.39 gamma=34.23
Each line ends with the local moment (μB).
Element x y z (fractional)
Hg 0.001 0.001 0.999  0.00
Hg 0.499 0.499 0.501  0.00
Os 0.250 0.250 0.250  0.41
Ru 0.750 0.750 0.750  0.70

Calculated values
- Symmetry: No. 12
- Size of the total moment: 0.286 μB per atom
- ΔE_f: 0.830 eV/atom
- Offset from the most stable computed form: 0.467 eV per atom

Record 12
Entry from Alexandria: a geometry-optimized Hg2OsRu structure (PBE-GGA).

Unit cell a=5.097 b=5.097 c=2.890 alpha=90.00 beta=90.00 gamma=110.43
Each line ends with the local moment (μB).
Element x y z (fractional)
Hg 0.000 0.000 0.000  0.02
Hg 0.500 0.500 0.000  0.02
Os 0.500 0.000 0.500  1.18
Ru 0.000 0.500 0.500  1.51

Calculated values
- Symmetry: No. 65
- Size of the total moment: 0.712 μB per atom
- ΔE_f: 0.960 eV/atom
- Offset from the most stable computed form: 0.598 eV per atom